[1]
Below is an optimized crystal structure of Tm4TlRu2, with properties calculated at the PBE level.

Computed properties:
- raw total energy (eV per cell) = -81.0
- volume (Å³/cell) = 331.0
- ΔE_f (eV/atom) = -0.242

a = 7.548 Å, b = 7.548 Å, c = 7.548 Å
α = 109.19°, β = 109.19°, γ = 110.03°
Fractional coordinates of all 14 atoms:
Tm 0.007 0.408 0.257
Tm 0.151 0.749 0.743
Tm 0.158 0.257 0.757
Tm 0.251 0.993 0.402
Tm 0.499 0.401 0.243
Tm 0.592 0.849 0.598
Tm 0.599 0.842 0.098
Tm 0.743 0.501 0.902
Tl 0.000 0.000 0.000
Tl 0.750 0.250 0.500
Ru 0.239 0.625 0.114
Ru 0.375 0.489 0.614
Ru 0.511 0.125 0.886
Ru 0.875 0.761 0.386


[2]
Below is an optimized crystal structure of Tm6Tl2Ru, with properties calculated at the PBE level.

Computed properties:
- raw total energy (eV per cell) = -42.2
- volume (Å³/cell) = 264.3
- ΔE_f (eV/atom) = -0.152

a = 8.537 Å, b = 8.537 Å, c = 8.537 Å
α = 145.74°, β = 130.32°, γ = 61.74°
Fractional coordinates of all 9 atoms:
Tm 0.084 0.346 0.738
Tm 0.223 0.000 0.223
Tm 0.392 0.654 0.738
Tm 0.608 0.346 0.262
Tm 0.777 0.000 0.777
Tm 0.916 0.654 0.262
Tl 0.334 0.834 0.500
Tl 0.666 0.166 0.500
Ru 0.000 0.500 0.500


[3]
Below is an optimized crystal structure of Tm8TlRu2, with properties calculated at the PBE level.

Computed properties:
- raw total energy (eV per cell) = -59.6
- volume (Å³/cell) = 293.3
- ΔE_f (eV/atom) = -0.266
- distance to the lowest polymorph of the same formula (meV per atom) = 0

a = 7.797 Å, b = 7.797 Å, c = 5.383 Å
α = 97.69°, β = 97.69°, γ = 112.57°
Fractional coordinates of all 11 atoms:
Tm 0.065 0.332 0.581
Tm 0.247 0.753 0.000
Tm 0.332 0.065 0.581
Tm 0.385 0.385 0.199
Tm 0.615 0.615 0.801
Tm 0.668 0.935 0.419
Tm 0.753 0.247 0.000
Tm 0.935 0.668 0.419
Tl 0.000 0.000 0.000
Ru 0.314 0.686 0.500
Ru 0.686 0.314 0.500


[4]
Below is an optimized crystal structure of Tm5Tl2Ru, with properties calculated at the PBE level.

Computed properties:
- raw total energy (eV per cell) = -78.2
- volume (Å³/cell) = 411.6
- ΔE_f (eV/atom) = -0.339
- distance to the lowest polymorph of the same formula (meV per atom) = 0

a = 6.844 Å, b = 12.371 Å, c = 4.862 Å
α = 90.00°, β = 90.00°, γ = 90.00°
Fractional coordinates of all 16 atoms:
Tm 0.000 0.000 0.000
Tm 0.120 0.290 0.000
Tm 0.175 0.584 0.500
Tm 0.325 0.084 0.500
Tm 0.380 0.790 0.000
Tm 0.500 0.500 0.000
Tm 0.620 0.210 0.000
Tm 0.675 0.916 0.500
Tm 0.825 0.416 0.500
Tm 0.880 0.710 0.000
Tl 0.107 0.839 0.500
Tl 0.393 0.339 0.500
Tl 0.607 0.661 0.500
Tl 0.893 0.161 0.500
Ru 0.000 0.500 0.000
Ru 0.500 0.000 0.000


[5]
Below is an optimized crystal structure of Tm3TlRu, with properties calculated at the PBE level.

Computed properties:
- raw total energy (eV per cell) = -54.0
- volume (Å³/cell) = 251.3
- ΔE_f (eV/atom) = -0.384
- distance to the lowest polymorph of the same formula (meV per atom) = 0

a = 9.432 Å, b = 8.759 Å, c = 5.763 Å
α = 78.01°, β = 65.28°, γ = 36.70°
Fractional coordinates of all 10 atoms:
Tm 0.198 0.572 0.428
Tm 0.200 0.200 0.800
Tm 0.428 0.802 0.198
Tm 0.572 0.198 0.802
Tm 0.800 0.800 0.200
Tm 0.802 0.428 0.572
Tl 0.219 0.781 0.781
Tl 0.781 0.219 0.219
Ru 0.250 0.250 0.250
Ru 0.750 0.750 0.750


[6]
Below is an optimized crystal structure of Tm5TlRu, with properties calculated at the PBE level.

Computed properties:
- raw total energy (eV per cell) = -70.0
- volume (Å³/cell) = 378.7
- ΔE_f (eV/atom) = -0.145

a = 5.863 Å, b = 5.863 Å, c = 11.742 Å
α = 102.64°, β = 102.64°, γ = 77.85°
Fractional coordinates of all 14 atoms:
Tm 0.006 0.994 0.750
Tm 0.083 0.415 0.623
Tm 0.206 0.546 0.935
Tm 0.415 0.083 0.123
Tm 0.454 0.794 0.565
Tm 0.546 0.206 0.435
Tm 0.585 0.917 0.877
Tm 0.794 0.454 0.065
Tm 0.917 0.585 0.377
Tm 0.994 0.006 0.250
Tl 0.403 0.597 0.250
Tl 0.597 0.403 0.750
Ru 0.000 0.000 0.000
Ru 0.000 0.000 0.500


[7]
Below is an optimized crystal structure of Tm12Tl6Ru, with properties calculated at the PBE level.

Computed properties:
- raw total energy (eV per cell) = -79.7
- volume (Å³/cell) = 553.1
- ΔE_f (eV/atom) = -0.134

a = 8.230 Å, b = 8.230 Å, c = 8.230 Å
α = 94.03°, β = 94.03°, γ = 94.03°
Fractional coordinates of all 19 atoms:
Tm 0.029 0.689 0.911
Tm 0.089 0.971 0.311
Tm 0.207 0.544 0.425
Tm 0.311 0.089 0.971
Tm 0.425 0.207 0.544
Tm 0.456 0.575 0.793
Tm 0.544 0.425 0.207
Tm 0.575 0.793 0.456
Tm 0.689 0.911 0.029
Tm 0.793 0.456 0.575
Tm 0.911 0.029 0.689
Tm 0.971 0.311 0.089
Tl 0.134 0.353 0.730
Tl 0.270 0.866 0.647
Tl 0.353 0.730 0.134
Tl 0.647 0.270 0.866
Tl 0.730 0.134 0.353
Tl 0.866 0.647 0.270
Ru 0.000 0.000 0.000


[8]
Below is an optimized crystal structure of Tm3TlRu, with properties calculated at the PBE level.

Computed properties:
- raw total energy (eV per cell) = -53.1
- volume (Å³/cell) = 256.9
- ΔE_f (eV/atom) = -0.303
- distance to the lowest polymorph of the same formula (meV per atom) = 81

a = 6.905 Å, b = 6.905 Å, c = 8.466 Å
α = 112.76°, β = 112.76°, γ = 44.48°
Fractional coordinates of all 10 atoms:
Tm 0.073 0.073 0.230
Tm 0.218 0.218 0.729
Tm 0.408 0.408 0.127
Tm 0.592 0.592 0.873
Tm 0.782 0.782 0.271
Tm 0.927 0.927 0.770
Tl 0.372 0.372 0.503
Tl 0.628 0.628 0.497
Ru 0.176 0.176 0.017
Ru 0.824 0.824 0.983


[9]
Below is an optimized crystal structure of Tm6TlRu5, with properties calculated at the PBE level.

Computed properties:
- raw total energy (eV per cell) = -80.5
- volume (Å³/cell) = 239.2
- ΔE_f (eV/atom) = -0.414

a = 4.816 Å, b = 6.892 Å, c = 7.595 Å
α = 90.00°, β = 108.42°, γ = 90.00°
Fractional coordinates of all 12 atoms:
Tm 0.000 0.231 0.000
Tm 0.000 0.769 0.000
Tm 0.326 0.243 0.653
Tm 0.326 0.757 0.653
Tm 0.674 0.243 0.347
Tm 0.674 0.757 0.347
Tl 0.500 0.500 0.000
Ru 0.164 0.500 0.329
Ru 0.166 0.000 0.332
Ru 0.500 0.000 0.000
Ru 0.834 0.000 0.668
Ru 0.836 0.500 0.671


[10]
Below is an optimized crystal structure of Tm5TlRu4, with properties calculated at the PBE level.

Computed properties:
- raw total energy (eV per cell) = -66.3
- volume (Å³/cell) = 205.5
- ΔE_f (eV/atom) = -0.447

a = 3.374 Å, b = 3.374 Å, c = 18.052 Å
α = 90.00°, β = 90.00°, γ = 90.00°
Fractional coordinates of all 10 atoms:
Tm 0.000 0.000 0.000
Tm 0.000 0.000 0.184
Tm 0.000 0.000 0.367
Tm 0.000 0.000 0.633
Tm 0.000 0.000 0.816
Tl 0.500 0.500 0.500
Ru 0.500 0.500 0.093
Ru 0.500 0.500 0.282
Ru 0.500 0.500 0.718
Ru 0.500 0.500 0.907


[11]
Below is an optimized crystal structure of Tm5Tl2Ru, with properties calculated at the PBE level.

Computed properties:
- raw total energy (eV per cell) = -37.9
- volume (Å³/cell) = 214.2
- ΔE_f (eV/atom) = -0.190
- distance to the lowest polymorph of the same formula (meV per atom) = 149

a = 6.624 Å, b = 6.624 Å, c = 6.550 Å
α = 115.96°, β = 115.96°, γ = 96.94°
Fractional coordinates of all 8 atoms:
Tm 0.000 0.000 0.000
Tm 0.425 0.425 0.989
Tm 0.460 0.968 0.496
Tm 0.516 0.516 0.559
Tm 0.968 0.460 0.496
Tl 0.488 0.944 0.013
Tl 0.944 0.488 0.013
Ru 0.804 0.804 0.465


[12]
Below is an optimized crystal structure of Tm2Tl2Ru, with properties calculated at the PBE level.

Computed properties:
- raw total energy (eV per cell) = -24.6
- volume (Å³/cell) = 122.7
- ΔE_f (eV/atom) = -0.329

a = 11.131 Å, b = 11.131 Å, c = 11.131 Å
α = 162.64°, β = 162.64°, γ = 24.64°
Fractional coordinates of all 5 atoms:
Tm 0.075 0.075 0.000
Tm 0.925 0.925 0.000
Tl 0.306 0.306 0.000
Tl 0.694 0.694 0.000
Ru 0.500 0.500 0.000


Q: What is the raw total energy in the eighth record?
A: -53.1 eV per cell


Q: Look up the volume of the eighth one.
A: 256.9 Å³/cell